## CrReF2 (PBE with a Hubbard U)

Data for an optimized crystal structure of CrReF2.

POSCAR file:
```
CrReF2
1.0
1.4024 0.8097 7.5693
-1.4024 0.8097 7.5693
0.0000 -1.6193 7.5693
Cr Re F
1 1 2
Direct
0.0000 0.0000 0.0000
0.5000 0.5000 0.5000
0.4092 0.4092 0.4092
0.5908 0.5908 0.5908
```

Summary:
space group	R-3m, No. 166
total magnetization	4.855	μB per formula unit
V	51.6	Å³ per cell
E above lowest polymorph	0.000	eV per atom